# Pm2NdY6Ho

Crystalline Pm2NdY6Ho at its relaxed geometry (PBE, Alexandria).

## Properties
**Total magnetization**: 0.000 μB per atom
**Energy relative to the elements**: 117 meV per atom

a = 9.109 Å, b = 15.034 Å, c = 9.877 Å
α = 90.00°, β = 100.41°, γ = 90.00°
Space group C2/c (No. 15)
Unique sites:
Pm (0.238, 0.049, 0.044) (multiplicity 8)
Nd (0.000, 0.404, 0.250) (multiplicity 4)
Y (0.067, 0.188, 0.444) (multiplicity 8)
Y (0.102, 0.397, 0.620) (multiplicity 8)
Y (0.198, 0.223, 0.816) (multiplicity 8)
Ho (0.000, 0.018, 0.750) (multiplicity 4)